First-principles (PBE+U) data for an optimized crystal structure of Mn5In3O12, as listed in the Alexandria database.

Properties
**Density of states at the Fermi level**: 22.741 states/eV per cell
**Distance to the lowest polymorph of the same formula**: 111.2 meV/atom

abc: 10.816 10.816 10.816
angles: 109.47 109.47 109.47
Positions (direct):
O (0.929, 0.098, 0.631)
O (0.669, 0.202, 0.571)
O (0.369, 0.402, 0.071)
O (0.131, 0.702, 0.533)
O (0.702, 0.571, 0.169)
O (0.533, 0.331, 0.902)
O (0.631, 0.598, 0.929)
O (0.033, 0.631, 0.702)
O (0.298, 0.869, 0.967)
O (0.467, 0.669, 0.098)
O (0.902, 0.831, 0.533)
O (0.331, 0.533, 0.402)
O (0.071, 0.902, 0.369)
O (0.669, 0.467, 0.598)
O (0.098, 0.169, 0.467)
O (0.331, 0.798, 0.429)
O (0.169, 0.071, 0.702)
O (0.798, 0.467, 0.369)
O (0.571, 0.869, 0.402)
O (0.467, 0.798, 0.869)
O (0.831, 0.929, 0.298)
O (0.402, 0.033, 0.331)
O (0.571, 0.702, 0.669)
O (0.967, 0.369, 0.298)
O (0.631, 0.033, 0.202)
O (0.798, 0.331, 0.929)
O (0.702, 0.131, 0.033)
O (0.869, 0.571, 0.902)
O (0.533, 0.202, 0.131)
O (0.298, 0.429, 0.831)
O (0.098, 0.929, 0.131)
O (0.131, 0.429, 0.098)
O (0.202, 0.669, 0.071)
O (0.598, 0.631, 0.429)
O (0.369, 0.967, 0.798)
O (0.033, 0.402, 0.831)
O (0.967, 0.598, 0.169)
O (0.429, 0.131, 0.598)
O (0.902, 0.071, 0.869)
O (0.071, 0.169, 0.202)
O (0.869, 0.298, 0.467)
O (0.598, 0.967, 0.669)
O (0.202, 0.533, 0.631)
O (0.429, 0.298, 0.331)
O (0.402, 0.369, 0.571)
O (0.831, 0.902, 0.033)
O (0.929, 0.831, 0.798)
O (0.169, 0.098, 0.967)
Mn (0.000, 0.000, 0.500)
Mn (0.500, 0.000, 0.500)
Mn (0.000, 0.500, 0.000)
Mn (0.750, 0.125, 0.875)
Mn (0.000, 0.000, 0.000)
Mn (0.875, 0.625, 0.750)
Mn (0.250, 0.875, 0.125)
Mn (0.750, 0.625, 0.375)
Mn (0.000, 0.500, 0.500)
Mn (0.375, 0.125, 0.750)
Mn (0.250, 0.375, 0.625)
Mn (0.500, 0.500, 0.500)
Mn (0.375, 0.250, 0.125)
Mn (0.625, 0.875, 0.250)
Mn (0.125, 0.375, 0.250)
Mn (0.500, 0.000, 0.000)
Mn (0.625, 0.750, 0.875)
Mn (0.125, 0.750, 0.375)
Mn (0.500, 0.500, 0.000)
Mn (0.875, 0.250, 0.625)
In (0.250, 0.125, 0.375)
In (0.875, 0.125, 0.250)
In (0.875, 0.750, 0.125)
In (0.250, 0.625, 0.875)
In (0.625, 0.250, 0.375)
In (0.125, 0.875, 0.750)
In (0.750, 0.875, 0.625)
In (0.750, 0.375, 0.125)
In (0.375, 0.625, 0.250)
In (0.125, 0.250, 0.875)
In (0.625, 0.375, 0.750)
In (0.375, 0.750, 0.625)